First-principles (GGA-PBE) data for a relaxed Y6Sb5Pb crystal, as listed in Alexandria via LeMat-Bulk.

abc: 7.6304 7.6304 7.6174
angles: 99.62 99.62 120.11
Last column: nearest neighbours and their distance in Å.
Sites, in units of the cell vectors:
Y  0.0792  0.4164  0.7486  5 Sb 3.09-3.12, 1 Pb 3.14
Y  0.2468  0.2468  0.2513  5 Sb 3.08-3.11, 1 Pb 3.14
Y  0.4164  0.0792  0.7486  5 Sb 3.09-3.12, 1 Pb 3.14
Y  0.5836  0.9208  0.2514  5 Sb 3.09-3.12, 1 Pb 3.14
Y  0.7532  0.7532  0.7487  5 Sb 3.08-3.11, 1 Pb 3.14
Y  0.9208  0.5836  0.2514  5 Sb 3.09-3.12, 1 Pb 3.14
Sb  0.0000  0.0000  0.5000  6 Y 3.08-3.12
Sb  0.1667  0.8333  0.0000  6 Y 3.10-3.11
Sb  0.3339  0.6661  0.5000  6 Y 3.09-3.12
Sb  0.6661  0.3339  0.5000  6 Y 3.09-3.12
Sb  0.8333  0.1667  0.0000  6 Y 3.10-3.11
Pb  0.5000  0.5000  0.0000  6 Y 3.14

Computed properties:
crystal system: monoclinic
E_form (uncorrected): -1187 kJ/mol of formula units
uncorrected energy: -6.2837 eV per atom